The following is a DFT calculation (PBE-GGA) of an optimized crystal structure of Na3FeS3.

total DFT energy (no corrections): -4.314 eV per atom

Unit cell a=9.8378 b=7.6904 c=12.4946 alpha=90.00 beta=140.41 gamma=90.00
Last column: nearest neighbours and their distance in Å.
Sites, in units of the cell vectors:
Fe: 0.5046 0.6581 0.0647  4 S 2.24-2.25
Fe: 0.4954 0.1581 0.4353  4 S 2.24-2.25
Fe: 0.5046 0.8419 0.5647  4 S 2.24-2.25
Fe: 0.4954 0.3419 0.9353  4 S 2.24-2.25
Na: 0.9771 0.4302 0.1276  4 S 2.67-2.82
Na: 0.0779 0.9208 0.1608  4 S 2.82-3.13, 1 Na 3.08
Na: 0.4995 0.0453 0.1713  4 S 2.73-2.95
Na: 0.5005 0.5453 0.3288  4 S 2.73-2.95
Na: 0.9221 0.4208 0.3392  4 S 2.82-3.13, 1 Na 3.08
Na: 0.0229 0.9302 0.3724  4 S 2.67-2.82
Na: 0.9771 0.0698 0.6276  4 S 2.67-2.82
Na: 0.0779 0.5792 0.6608  4 S 2.82-3.13, 1 Na 3.08
Na: 0.4995 0.4547 0.6712  4 S 2.73-2.95
Na: 0.5005 0.9547 0.8288  4 S 2.73-2.95
Na: 0.9221 0.0792 0.8392  4 S 2.82-3.13, 1 Na 3.08
Na: 0.0229 0.5698 0.8724  4 S 2.67-2.82
S: 0.3987 0.3893 0.0466  2 Fe 2.24-2.25
S: 0.7730 0.1575 0.1104  1 Fe 2.25
S: 0.2309 0.2316 0.1613  1 Fe 2.25
S: 0.7691 0.7316 0.3387  1 Fe 2.25
S: 0.2270 0.6575 0.3896  1 Fe 2.25
S: 0.6013 0.8893 0.4534  2 Fe 2.24-2.25
S: 0.3987 0.1107 0.5466  2 Fe 2.24-2.25
S: 0.7730 0.3425 0.6104  1 Fe 2.25
S: 0.2309 0.2684 0.6613  1 Fe 2.25
S: 0.7691 0.7684 0.8387  1 Fe 2.25
S: 0.2270 0.8425 0.8896  1 Fe 2.25
S: 0.6013 0.6107 0.9534  2 Fe 2.24-2.25


The following is a DFT calculation (PBE-GGA) of an optimized crystal structure of HfIn2Ga.

total DFT energy (no corrections): -4.395 eV per atom

Unit cell a=5.0633 b=5.0633 c=5.0633 alpha=60.00 beta=60.00 gamma=60.00
Last column: nearest neighbours and their distance in Å.
Sites, in units of the cell vectors:
Ga: 0.5000 0.5000 0.5000  4 In 3.10, 4 Hf 3.10
Hf: 0.2500 0.2500 0.2500  4 Ga 3.10, 4 In 3.10
In: 0.0000 0.0000 0.0000  4 In 3.10, 4 Hf 3.10
In: 0.7500 0.7500 0.7500  4 Ga 3.10, 4 In 3.10


The following is a DFT calculation (PBE-GGA) of an optimized crystal structure of LuCo2As.

total DFT energy (no corrections): -5.886 eV per atom

Unit cell a=4.4274 b=4.4274 c=4.4274 alpha=60.00 beta=60.00 gamma=60.00
Last column: nearest neighbours and their distance in Å.
Sites, in units of the cell vectors:
As: 0.5000 0.5000 0.5000  4 Lu 2.71, 4 Co 2.71
Co: 0.0000 0.0000 0.0000  4 Co 2.71, 4 Lu 2.71
Co: 0.7500 0.7500 0.7500  4 Co 2.71, 4 As 2.71
Lu: 0.2500 0.2500 0.2500  4 As 2.71, 4 Co 2.71


The following is a DFT calculation (PBE-GGA) of an optimized crystal structure of PrErAsO.

total DFT energy (no corrections): -6.498 eV per atom

Unit cell a=4.2975 b=4.2975 c=9.1862 alpha=90.00 beta=90.00 gamma=90.00
Last column: nearest neighbours and their distance in Å.
Sites, in units of the cell vectors:
As: 0.7500 0.7500 0.2755  4 Pr 2.98, 4 O 3.32
As: 0.2500 0.2500 0.7245  4 Pr 2.98, 4 O 3.32
Er: 0.2500 0.2500 0.0928  4 O 2.31
Er: 0.7500 0.7500 0.9072  4 O 2.31
O: 0.7500 0.2500 0.0000  4 Er 2.31
O: 0.2500 0.7500 0.0000  4 Er 2.31
Pr: 0.7500 0.2500 0.5000  4 As 2.98, 4 Pr 3.04
Pr: 0.2500 0.7500 0.5000  4 As 2.98, 4 Pr 3.04